This record from Alexandria via LeMat-Bulk describes an optimized crystal structure of CuGePbAu3. The functional is PBE.

a b c (Å): 6.167 6.835 6.815
angles (deg): 120.10 90.00 90.00
Atoms (fractional coordinates):
Au (0.000, 0.722, 0.000)
Pb (0.750, 0.304, 0.608)
Pb (0.250, 0.696, 0.392)
Cu (0.750, 0.077, 0.155)
Au (0.500, 0.722, 0.000)
Ge (0.750, 0.636, 0.272)
Au (0.500, 0.278, 0.000)
Cu (0.250, 0.923, 0.845)
Au (0.250, 0.150, 0.299)
Au (0.750, 0.850, 0.701)
Au (0.000, 0.278, 0.000)
Ge (0.250, 0.364, 0.728)

space-group type	Cmcm (63)
electronic total energy	-3.65	eV/atom